# 1
Density functional theory data (PBE) for a relaxed structure of Al2NiHRh.

Structure (POSCAR):
```
Al2NiHRh
1.0
4.1914 0.0000 0.0000
0.0000 4.1914 0.0000
0.0000 0.0000 3.1322
Al H Ni Rh
2 1 1 1
Direct
0.5000 0.0000 0.0000
0.0000 0.5000 0.0000
0.0000 0.0000 0.0000
0.0000 0.0000 0.5000
0.5000 0.5000 0.5000
```

Output
E = -26.76 eV/f.u.

---

# 2
Density functional theory data (PBE) for a relaxed structure of AlNi2HRh.

Structure (POSCAR):
```
AlNi2HRh
1.0
-1.2175 3.0466 1.4104
-3.3215 -0.8746 -0.9781
-0.5527 -1.8595 3.5396
Rh Al H Ni
1 1 1 2
Direct
0.5000 0.5000 0.5000
0.0000 0.0000 0.5000
0.0000 0.0000 0.0000
0.5000 0.0000 0.0000
0.0000 0.5000 0.0000
```

Output
Energy above the lowest structure with this stoichiometry = 11.6 kJ/mol of atoms
E = -27.57 eV/f.u.

---

# 3
Density functional theory data (PBE) for a relaxed structure of AlNi2HRh.

Structure (POSCAR):
```
AlNi2HRh
1.0
3.6457 0.0000 0.0000
0.0000 3.6457 0.0000
0.0000 0.0000 3.8800
H Ni Rh Al
1 2 1 1
Direct
0.0000 0.0000 0.0000
0.0000 0.5000 0.0000
0.5000 0.0000 0.0000
0.0000 0.0000 0.5000
0.5000 0.5000 0.5000
```

Output
Energy above the lowest structure with this stoichiometry = 0.0 kJ/mol of atoms
E = -28.17 eV/f.u.

---

# 4
Density functional theory data (PBE) for a relaxed structure of AlNi2HRu.

Structure (POSCAR):
```
AlNi2HRu
1.0
-2.7079 -2.1992 0.7533
0.7292 -1.9017 -2.9306
2.4953 -2.3398 2.1393
Ru Ni Al H
1 2 1 1
Direct
0.5000 0.5000 0.5000
0.0000 0.5000 0.0000
0.5000 0.0000 0.0000
0.0000 0.0000 0.5000
0.0000 0.0000 0.0000
```

Output
Energy above the lowest structure with this stoichiometry = 13.4 kJ/mol of atoms
E = -28.66 eV/f.u.